(1)
A plane-wave DFT calculation with GGA-PBE was carried out for an optimized crystal structure of NaAgBi.

Energy of formation from the pure elements   0.038 eV per atom
DOS at the Fermi energy   0.588 states/eV per atom
Polymorph energy (0 for the lowest one)   0.215 eV per atom
Final energy   -2.6460 eV per atom

Unit cell a=4.5639 b=4.5639 c=16.2630 alpha=90.00 beta=90.00 gamma=120.00
Space group R3m (No. 160, hexagonal axes)
Asymmetric unit:
Na 0.0000 0.0000 0.0000 (multiplicity 3)
Ag 0.0000 0.0000 0.1966 (multiplicity 3)
Bi 0.0000 0.0000 0.8020 (multiplicity 3)

=====

(2)
A plane-wave DFT calculation with GGA-PBE was carried out for an optimized crystal structure of YTc4P2.

Energy of formation from the pure elements   -0.710 eV per atom
DOS at the Fermi energy   0.397 states/eV per atom
Final energy   -9.1030 eV per atom

Unit cell a=4.0487 b=13.5660 c=4.0114 alpha=90.00 beta=90.00 gamma=90.00
Space group Cmmm (No. 65)
Asymmetric unit:
Y 0.0000 0.0000 0.0000 (multiplicity 2)
Tc 0.0000 0.1827 0.5000 (multiplicity 4)
Tc 0.0000 0.3093 0.0000 (multiplicity 4)
P 0.0000 0.4138 0.5000 (multiplicity 4)